A relaxed AcFeOs2O8 crystal, computed with GGA+U.

a b c (Å): 5.124 5.124 7.475
angles (deg): 69.95 69.95 60.00
Element x y z (fractional)
1 O 0.090 0.369 0.831
2 O 0.369 0.710 0.831
3 O 0.710 0.090 0.831
4 O 0.181 0.181 0.458
5 O 0.631 0.290 0.169
6 O 0.290 0.910 0.169
7 O 0.910 0.631 0.169
8 O 0.819 0.819 0.542
9 Os 0.273 0.273 0.182
10 Os 0.727 0.727 0.818
11 Fe 0.000 0.000 0.000
12 Ac 0.500 0.500 0.500

Values from the calculation:
Its density of states at the Fermi level is 0.540 states/eV per atom. Its space-group type is No. 148. As for the total moment: 3.3 μB per cell. For the total DFT energy (no corrections), the calculation gives -7.27 eV/atom.